[1]
HgPt2Au2 | PBE | optimized geometry

Results
Crystal system: tetragonal
ΔE_f, eV/atom: 0.105
Distance to the lowest polymorph of the same formula, meV/atom: 0

a b c (Å): 7.138 7.138 3.701
angles (deg): 90.00 90.00 90.00
Space group P4/mbm (No. 127)
Inequivalent atoms, fractional coordinates:
Hg  0.000  0.000  0.000 (multiplicity 2)
Pt  0.136  0.364  0.000 (multiplicity 4)
Au  0.162  0.662  0.500 (multiplicity 4)


[2]
PtRhCl2 | PBE | optimized geometry

Results
ΔE_f (raw), eV per formula unit: 0.96
Crystal system: orthorhombic
Distance to the lowest polymorph of the same formula, meV/atom: 351

a b c (Å): 2.893 5.595 9.497
angles (deg): 90.00 90.00 90.00
Space group Cmm2 (No. 35)
Inequivalent atoms, fractional coordinates:
Pt  0.000  0.000  0.000 (multiplicity 2)
Rh  0.000  0.500  0.768 (multiplicity 2)
Cl  0.000  0.000  0.570 (multiplicity 2)
Cl  0.000  0.500  0.210 (multiplicity 2)


[3]
CePu4Co3 | PBE | optimized geometry

Results
Crystal system: orthorhombic
ΔE_f, eV/atom: 0.027

a b c (Å): 9.398 11.387 5.732
angles (deg): 90.00 90.00 90.00
Space group Ibam (No. 72)
Inequivalent atoms, fractional coordinates:
Ce  0.000  0.000  0.250 (multiplicity 4)
Pu  0.094  0.270  0.000 (multiplicity 8)
Pu  0.215  0.420  0.500 (multiplicity 8)
Co  0.000  0.500  0.250 (multiplicity 4)
Co  0.158  0.167  0.500 (multiplicity 8)


[4]
Tb2GdCo | PBE | optimized geometry

Results
Crystal system: tetragonal
ΔE_f, eV/atom: -0.033
Distance to the lowest polymorph of the same formula, meV/atom: 0

a b c (Å): 3.419 3.419 8.899
angles (deg): 90.00 90.00 90.00
Space group P4/mmm (No. 123)
Inequivalent atoms, fractional coordinates:
Tb  0.000  0.000  0.181 (multiplicity 2)
Gd  0.500  0.500  0.500 (multiplicity 1)
Co  0.500  0.500  0.000 (multiplicity 1)


[5]
VZnMo3 | PBE | optimized geometry

Results
Crystal system: cubic
ΔE_f, eV/atom: 1.760
Distance to the lowest polymorph of the same formula, meV/atom: 475

a b c (Å): 4.541 4.541 4.541
angles (deg): 90.00 90.00 90.00
Space group Pm-3m (No. 221)
Inequivalent atoms, fractional coordinates:
V  0.000  0.000  0.000 (multiplicity 1)
Zn  0.500  0.500  0.500 (multiplicity 1)
Mo  0.000  0.500  0.500 (multiplicity 3)


[6]
Pm5HoTh | PBE | optimized geometry

Results
Crystal system: monoclinic
ΔE_f, eV/atom: 0.206

a b c (Å): 6.190 17.749 8.871
angles (deg): 90.00 101.39 90.00
Space group C2/c (No. 15)
Inequivalent atoms, fractional coordinates:
Pm  0.000  0.147  0.250 (multiplicity 4)
Pm  0.112  0.349  0.965 (multiplicity 8)
Pm  0.197  0.184  0.645 (multiplicity 8)
Ho  0.000  0.488  0.250 (multiplicity 4)
Th  0.000  0.000  0.000 (multiplicity 4)


no.,total DFT energy (no corrections) (eV/atom)
1,-3.68
2,-4.03
3,-10.55
4,-7.65
5,-6.82
6,-4.90